1.
# La2Co, optimized geometry, DFT PBE
data_La2Co
_cell_length_a 4.8859
_cell_length_b 4.8859
_cell_length_c 4.8859
_cell_angle_alpha 60.00
_cell_angle_beta 60.00
_cell_angle_gamma 60.00
_space_group_name_H-M_alt 'P 1'
_space_group_IT_number 1
loop_
_space_group_symop_operation_xyz
'x,y,z'
loop_
_atom_site_label
_atom_site_fract_x
_atom_site_fract_y
_atom_site_fract_z
La1 0.2500 0.2500 0.2500
La2 0.7500 0.7500 0.7500
Co1 0.0000 0.0000 0.0000
# space-group type: Fm-3m, No. 225
# energy relative to the elements: -0.0016 eV per atom
# total moment: 0.000 μB/atom

***

2.
# La3Co5, optimized geometry, DFT PBE
data_La3Co5
_cell_length_a 9.1362
_cell_length_b 9.1363
_cell_length_c 4.4786
_cell_angle_alpha 90.00
_cell_angle_beta 90.00
_cell_angle_gamma 60.00
_space_group_name_H-M_alt 'P 1'
_space_group_IT_number 1
loop_
_space_group_symop_operation_xyz
'x,y,z'
loop_
_atom_site_label
_atom_site_fract_x
_atom_site_fract_y
_atom_site_fract_z
Co1 0.9996 0.1448 0.7500
Co2 0.8555 0.9997 0.7500
Co3 0.1447 0.9997 0.2500
Co4 0.9997 0.8556 0.2500
Co5 0.6667 0.6667 0.0000
Co6 0.3333 0.3334 0.0000
Co7 0.6667 0.6667 0.5000
Co8 0.1446 0.8557 0.7500
Co9 0.3333 0.3334 0.5000
Co10 0.8556 0.1447 0.2500
La1 0.0000 0.3603 0.2500
La2 0.0000 0.6397 0.7500
La3 0.6397 0.3603 0.7500
La4 0.6397 0.0000 0.2500
La5 0.3603 0.6398 0.2500
La6 0.3603 0.0000 0.7500
# space-group type: P6_3/mcm, No. 193
# ΔE to the lowest computed polymorph: 0 meV per atom
# energy relative to the elements: 0.1203 eV per atom
# total moment: 0.577 μB/atom

***

3.
# La3Co, optimized geometry, DFT PBE
data_La3Co
_cell_length_a 6.4533
_cell_length_b 9.3700
_cell_length_c 9.0063
_cell_angle_alpha 81.15
_cell_angle_beta 64.23
_cell_angle_gamma 69.67
_space_group_name_H-M_alt 'P 1'
_space_group_IT_number 1
loop_
_space_group_symop_operation_xyz
'x,y,z'
loop_
_atom_site_label
_atom_site_fract_x
_atom_site_fract_y
_atom_site_fract_z
La1 0.9472 0.0010 0.5984
La2 0.4697 0.3614 0.6555
La3 0.3231 0.0057 0.7599
La4 0.4855 0.6587 0.3891
La5 0.6924 0.2042 0.9754
La6 0.3834 0.5932 0.0497
La7 0.9736 0.4025 0.0583
La8 0.1492 0.3382 0.3951
La9 0.6789 0.9958 0.3365
La10 0.2309 0.9977 0.1447
La11 0.8272 0.6459 0.6480
La12 0.9001 0.7928 0.9717
Co1 0.7015 0.3085 0.2999
Co2 0.2702 0.6897 0.7062
Co3 0.0189 0.6857 0.2941
Co4 0.9482 0.3188 0.7176
# space-group type: P1, No. 1
# energy relative to the elements: -0.0234 eV per atom
# total moment: 0.000 μB/atom